[1]
Below is a relaxed structure of Ni3PdCl, with properties calculated at the GGA-PBE level.

For the uncorrected formation energy, the calculation gives 1.194 eV/atom. Its distance to the lowest polymorph of the same formula is 0.686 eV/atom. Its space-group type is Pm-3m (221).

Cell lengths 4.6450, 4.6450, 4.6450 Å; angles 90.00, 90.00, 90.00 degrees
Element x y z (fractional)
Ni  0.0000  0.5000  0.0000
Ni  0.0000  0.0000  0.5000
Ni  0.5000  0.0000  0.0000
Pd  0.0000  0.0000  0.0000
Cl  0.5000  0.5000  0.5000

***

[2]
Below is a relaxed structure of AlHgW, with properties calculated at the GGA-PBE level.

The formation energy is 1.0756 eV/atom. Its distance to the lowest polymorph of the same formula is 0.688 eV/atom. Its space-group type is F-43m (216).

Cell lengths 4.5016, 4.5016, 4.5016 Å; angles 60.00, 60.00, 60.00 degrees
Element x y z (fractional)
Hg  0.5000  0.5000  0.5000
W  0.7500  0.7500  0.7500
Al  0.0000  0.0000  0.0000

***

[3]
Below is a relaxed structure of BaTbZn2Ga2, with properties calculated at the GGA-PBE level.

The formation energy is -0.4800 eV/atom. Its space-group type is P-3m1 (164).

Cell lengths 4.5543, 4.5543, 8.1672 Å; angles 90.00, 90.00, 120.00 degrees
Element x y z (fractional)
Ba  0.0000  0.0000  0.0000
Tb  0.0000  0.0000  0.5000
Zn  0.6667  0.3333  0.3138
Zn  0.3333  0.6667  0.6862
Ga  0.6667  0.3333  0.6934
Ga  0.3333  0.6667  0.3066

***

[4]
Below is a relaxed structure of YHfF, with properties calculated at the GGA-PBE level.

For the uncorrected formation energy, the calculation gives -1.596 eV/atom. Its space-group type is R-3m (166).

Cell lengths 3.4460, 3.4460, 12.4951 Å; angles 82.07, 82.07, 59.99 degrees
Element x y z (fractional)
Hf  0.0111  0.0111  0.2499
Hf  0.7421  0.7421  0.0574
Y  0.6064  0.6064  0.4643
Y  0.1467  0.1467  0.8431
F  0.2392  0.2392  0.5660
F  0.5140  0.5140  0.7413

***

[5]
Below is a relaxed structure of PaTlNiPd, with properties calculated at the GGA-PBE level.

The formation energy is -0.2257 eV/atom. Its space-group type is F-43m (216).

Cell lengths 4.7906, 4.7906, 4.7906 Å; angles 60.00, 60.00, 60.00 degrees
Element x y z (fractional)
Ni  0.2500  0.2500  0.2500
Tl  0.5000  0.5000  0.5000
Pa  0.0000  0.0000  0.0000
Pd  0.7500  0.7500  0.7500

***

[6]
Below is a relaxed structure of Tl2Os3O8, with properties calculated at the GGA-PBE level.

For the uncorrected formation energy, the calculation gives -0.820 eV/atom. Its space-group type is P6_3mc (186).

Cell lengths 5.7768, 5.7768, 14.8497 Å; angles 90.00, 90.00, 120.00 degrees
Element x y z (fractional)
Tl  0.6667  0.3333  0.0495
Tl  0.3333  0.6667  0.5495
Tl  0.6667  0.3333  0.4361
Tl  0.3333  0.6667  0.9361
Os  0.7009  0.8504  0.2504
Os  0.8504  0.1496  0.7504
Os  0.1496  0.2991  0.2504
Os  0.8504  0.7009  0.7504
Os  0.2991  0.1496  0.7504
Os  0.1496  0.8504  0.2504
O  0.8465  0.1535  0.1630
O  0.6930  0.8465  0.6630
O  0.1535  0.3070  0.6630
O  0.8465  0.6930  0.1630
O  0.3070  0.1535  0.1630
O  0.1535  0.8465  0.6630
O  0.5053  0.4947  0.8129
O  0.0106  0.5053  0.3129
O  0.4947  0.9894  0.3129
O  0.5053  0.0106  0.8129
O  0.0000  0.0000  0.3453
O  0.0000  0.0000  0.8453
O  0.3333  0.6667  0.1838
O  0.9894  0.4947  0.8129
O  0.4947  0.5053  0.3129
O  0.6667  0.3333  0.6838

***

[7]
Below is a relaxed structure of CaTm3Re, with properties calculated at the GGA-PBE level.

The formation energy is 0.1564 eV/atom. Its space-group type is Pm-3m (221).

Cell lengths 5.4225, 5.4225, 5.4225 Å; angles 90.00, 90.00, 90.00 degrees
Element x y z (fractional)
Re  0.0000  0.0000  0.0000
Ca  0.5000  0.5000  0.5000
Tm  0.0000  0.5000  0.0000
Tm  0.0000  0.0000  0.5000
Tm  0.5000  0.0000  0.0000

***

[8]
Below is a relaxed structure of LaCuP2, with properties calculated at the GGA-PBE level.

The formation energy is -0.6366 eV/atom. Its space-group type is I-42d (122).

Cell lengths 7.1008, 7.1008, 5.9330 Å; angles 53.24, 53.24, 90.00 degrees
Element x y z (fractional)
P  0.5475  0.1250  0.2500
P  0.2025  0.6250  0.2500
P  0.3750  0.4525  0.7500
P  0.8750  0.7975  0.7500
Cu  0.5000  0.5000  0.0000
Cu  0.2500  0.7500  0.5000
La  0.0000  0.0000  0.0000
La  0.7500  0.2500  0.5000